A plane-wave DFT calculation with PBEsol was carried out for a geometry-optimized Zr2SnHgGe structure.

Properties
size of the total moment: 0.4 μB per cell
DFT formation energy: 22.0 kcal/mol of atoms
space group: P4/mmm (123)
theoretical density: 6.67 Mg/m³
uncorrected energy: -23.2 eV/cell

Unit cell a=5.037 b=5.327 c=5.327 alpha=90.00 beta=90.00 gamma=90.00
Element x y z (fractional)
Sn (0.000, 0.000, 0.000)
Ge (0.500, 0.500, 0.500)
Zr (0.000, 0.000, 0.500)
Zr (0.000, 0.500, 0.000)
Hg (0.500, 0.000, 0.000)